# Ce2HoRuN4 (PBE, optimized geometry)
# - Electronic total energy: -8.419 eV per atom
# - SG: Cmcm, No. 63
# - Mass density: 8.6 g cm⁻³
data_Ce2HoRuN4
_space_group_name_H-M_alt 'P 1'
_space_group_IT_number 1
_cell_length_a 6.1211
_cell_length_b 6.1211
_cell_length_c 11.6614
_cell_angle_alpha 90.00
_cell_angle_beta 90.00
_cell_angle_gamma 147.97
loop_
_space_group_symop_operation_xyz
'x,y,z'
loop_
_atom_site_label
_atom_site_fract_x
_atom_site_fract_y
_atom_site_fract_z
Ce1 0.1311 0.8689 0.5518
Ce2 0.1311 0.8689 0.9482
Ce3 0.8689 0.1311 0.0518
Ce4 0.8689 0.1311 0.4482
Ho1 0.3830 0.6170 0.7500
Ho2 0.6170 0.3830 0.2500
Ru1 0.3557 0.6443 0.2500
Ru2 0.6443 0.3557 0.7500
N1 0.0352 0.9648 0.7500
N2 0.2255 0.7745 0.1286
N3 0.2255 0.7745 0.3714
N4 0.5000 0.5000 0.0000
N5 0.5000 0.5000 0.5000
N6 0.7745 0.2255 0.6286
N7 0.7745 0.2255 0.8714
N8 0.9648 0.0352 0.2500